1.
First-principles (PBE-GGA) data for Zr2ZnBr after structural relaxation, as listed in the Alexandria database.

Summary:
formation energy without anion corrections	-70	meV per atom
calculated volume	85	Å³/cell
magnetization	0.000	μB per atom
E	-20.32	eV per cell

Cell and atoms, written as CIF:
```
data_Zr2ZnBr
_cell_length_a 5.676
_cell_length_b 5.676
_cell_length_c 5.676
_cell_angle_alpha 146.10
_cell_angle_beta 122.29
_cell_angle_gamma 68.64
_space_group_name_H-M_alt 'P 1'
_space_group_IT_number 1
_space_group_name_Hall 'P 1'
loop_
_atom_site_label
_atom_site_fract_x
_atom_site_fract_y
_atom_site_fract_z
Zr1 0.248 0.248 0.000
Zr2 0.752 0.752 0.000
Zn1 0.500 0.000 0.500
Br1 0.000 0.500 0.500
```

---

2.
First-principles (PBE-GGA) data for CaAsPd2 after structural relaxation, as listed in the Alexandria database.

Summary:
calculated volume	73	Å³/cell
magnetization	0.000	μB per atom
DFT formation energy	-568	meV/atom
E	-19.31	eV per cell

Cell and atoms, written as CIF:
```
data_CaAsPd2
_cell_length_a 4.358
_cell_length_b 4.358
_cell_length_c 3.826
_cell_angle_alpha 90.00
_cell_angle_beta 90.00
_cell_angle_gamma 90.00
_space_group_name_H-M_alt 'P 1'
_space_group_IT_number 1
_space_group_name_Hall 'P 1'
loop_
_atom_site_label
_atom_site_fract_x
_atom_site_fract_y
_atom_site_fract_z
Ca1 0.000 0.000 0.000
As1 0.500 0.500 0.000
Pd1 0.000 0.500 0.500
Pd2 0.500 0.000 0.500
```

---

3.
First-principles (PBE-GGA) data for Ce5Pu3P8 after structural relaxation, as listed in the Alexandria database.

Summary:
calculated volume	378	Å³/cell
magnetization	1.143	μB per atom
DFT formation energy	-1373	meV/atom
E	-137.92	eV per cell

Cell and atoms, written as CIF:
```
data_Ce5Pu3P8
_cell_length_a 8.105
_cell_length_b 8.105
_cell_length_c 8.105
_cell_angle_alpha 60.12
_cell_angle_beta 60.12
_cell_angle_gamma 60.12
_space_group_name_H-M_alt 'P 1'
_space_group_IT_number 1
_space_group_name_Hall 'P 1'
loop_
_atom_site_label
_atom_site_fract_x
_atom_site_fract_y
_atom_site_fract_z
Ce1 0.000 0.000 0.000
Ce2 0.000 0.500 0.500
Ce3 0.500 0.000 0.500
Ce4 0.500 0.500 0.000
Ce5 0.500 0.500 0.500
Pu1 0.000 0.000 0.500
Pu2 0.000 0.500 0.000
Pu3 0.500 0.000 0.000
P1 0.246 0.750 0.750
P2 0.247 0.247 0.247
P3 0.250 0.250 0.754
P4 0.250 0.754 0.250
P5 0.750 0.246 0.750
P6 0.750 0.750 0.246
P7 0.753 0.753 0.753
P8 0.754 0.250 0.250
```

---

4.
First-principles (PBE-GGA) data for TcRu7 after structural relaxation, as listed in the Alexandria database.

Summary:
calculated volume	112	Å³/cell
magnetization	0.000	μB per atom
DFT formation energy	110	meV/atom
E	-74.42	eV per cell

Cell and atoms, written as CIF:
```
data_TcRu7
_cell_length_a 5.415
_cell_length_b 5.415
_cell_length_c 5.415
_cell_angle_alpha 60.00
_cell_angle_beta 60.00
_cell_angle_gamma 60.00
_space_group_name_H-M_alt 'P 1'
_space_group_IT_number 1
_space_group_name_Hall 'P 1'
loop_
_atom_site_label
_atom_site_fract_x
_atom_site_fract_y
_atom_site_fract_z
Tc1 0.000 0.000 0.000
Ru1 0.000 0.000 0.500
Ru2 0.000 0.500 0.000
Ru3 0.000 0.500 0.500
Ru4 0.500 0.000 0.000
Ru5 0.500 0.000 0.500
Ru6 0.500 0.500 0.000
Ru7 0.500 0.500 0.500
```